Entry from OQMD: a relaxed NaTlNi crystal (PBE).

Total magnetization (μB per atom): 0.0017

a b c (Å): 4.589 4.589 4.589
angles (deg): 60.00 60.00 60.00
Positions (direct):
Tl1 0.750 0.750 0.750
Ni1 0.250 0.250 0.250
Na1 0.000 0.000 0.000


Entry from OQMD: a relaxed Li2Mg2InPd2Pb crystal (PBE).

a b c (Å): 4.648 4.648 6.545
angles (deg): 90.00 90.00 90.00
Positions (direct):
Li1 0.500 0.000 0.247
Pd1 0.500 0.000 0.758
Mg1 0.000 0.000 0.500
Mg2 0.500 0.500 0.000
In1 0.000 0.000 0.000
Pd2 0.000 0.500 0.242
Pb1 0.500 0.500 0.500
Li2 0.000 0.500 0.753


Entry from OQMD: a relaxed TbEr2In3Pt2Au crystal (PBE).

Total magnetization (μB per atom): 0.0004

a b c (Å): 3.787 7.778 7.778
angles (deg): 120.12 90.00 90.00
Positions (direct):
Pt1 0.500 0.667 0.331
Pt2 0.500 0.331 0.667
In1 0.500 0.269 0.269
Tb1 0.000 0.593 0.593
Er1 0.000 0.408 0.000
Er2 0.000 0.000 0.408
In2 0.500 0.731 0.001
Au1 0.000 0.001 0.001
In3 0.500 0.001 0.731


Entry from OQMD: a relaxed DyY2In3CuPd2 crystal (PBE).

Total magnetization (μB per atom): 0.0007

a b c (Å): 3.754 7.754 7.754
angles (deg): 119.87 90.00 90.00
Positions (direct):
In1 0.500 0.256 0.256
Y1 0.000 0.000 0.408
Pd1 0.500 0.335 0.666
Cu1 0.000 0.999 0.999
In2 0.500 0.000 0.744
Dy1 0.000 0.592 0.592
Y2 0.000 0.408 0.000
In3 0.500 0.744 0.000
Pd2 0.500 0.666 0.335


Entry from OQMD: a relaxed Sr4TlFe2 crystal (PBE).

Total magnetization (μB per atom): 0.6353

a b c (Å): 5.766 5.766 7.669
angles (deg): 94.53 94.53 93.77
Site moments in Bohr magnetons follow the coordinates.
Positions (direct):
Fe1 0.382 0.382 0.924  2.43
Sr1 0.879 0.429 0.745  -0.03
Sr2 0.121 0.571 0.255  -0.03
Sr3 0.429 0.879 0.745  -0.03
Fe2 0.618 0.618 0.076  2.43
Sr4 0.571 0.121 0.255  -0.03
Tl1 0.000 0.000 0.000  -0.04


Entry from OQMD: a relaxed ZnFe2Pb crystal (PBE).

Total magnetization (μB per atom): 1.2212

a b c (Å): 6.371 6.371 6.371
angles (deg): 90.00 90.00 90.00
Site moments in Bohr magnetons follow the coordinates.
Positions (direct):
Zn1 0.000 0.500 0.000  -0.06
Fe1 0.786 0.786 0.786  2.52
Fe2 0.214 0.214 0.214  2.52
Zn2 0.500 0.000 0.000  -0.05
Fe3 0.786 0.214 0.786  2.47
Fe4 0.786 0.786 0.214  2.47
Fe5 0.214 0.786 0.786  2.50
Pb1 0.000 0.500 0.500  -0.06
Pb2 0.500 0.500 0.000  -0.06
Fe6 0.214 0.786 0.214  2.47
Pb3 0.500 0.000 0.500  -0.03
Fe7 0.786 0.214 0.214  2.50
Fe8 0.214 0.214 0.786  2.47
Pb4 0.500 0.500 0.500  -0.01
Zn3 0.000 0.000 0.500  -0.07
Zn4 0.000 0.000 0.000  -0.08


Let's list final energy in order: -2.39; -3.45; -5.06; -5.13; -3.38; -4.98 eV/atom.
Let's list density in order: 7.0; 7.0; 11.9; 8.2; 4.4; 9.9 g/cm3.